LaCeTcCl: relaxed, PBE.

```
LaCeTcCl
1.0
-1.720 -2.639 -1.697
-0.668 -0.232 3.520
-4.791 7.637 0.367
Ce Cl Tc La
1 1 1 1
direct
0.032 0.074 0.073
0.936 0.360 0.366
0.340 0.554 0.889
0.571 0.042 0.642
```

Density of states at the Fermi level, states/eV per cell: 3.38
Space-group type: No. 1
Total DFT energy (no corrections), eV/atom: -6.548